a | ! Pm2SmTe | the Alexandria database | PBE-GGA | optimized geometry; values from VASP
! - Volume: 31.44 Å³/atom
! - SG: P4/mmm, No. 123
&SYSTEM
  ibrav = 0, nat = 4, ntyp = 3
/
ATOMIC_SPECIES
Sm 150.36 Sm.upf
Te 127.60 Te.upf
Pm 145.00 Pm.upf
CELL_PARAMETERS angstrom
3.9548 0.0000 0.0000
0.0000 3.9548 0.0000
0.0000 0.0000 8.0416
ATOMIC_POSITIONS crystal
Sm 0.5000 0.5000 0.0000
Te 0.5000 0.5000 0.5000
Pm 0.0000 0.0000 0.2798
Pm 0.0000 0.0000 0.7202

---

b | ! Pm2SmTe | the Alexandria database | PBE-GGA | optimized geometry; values from VASP
! - Volume: 29.99 Å³/atom
! - SG: Fm-3m, No. 225
&SYSTEM
  ibrav = 0, nat = 4, ntyp = 3
/
ATOMIC_SPECIES
Te 127.60 Te.upf
Pm 145.00 Pm.upf
Sm 150.36 Sm.upf
CELL_PARAMETERS angstrom
-2.2752 -2.9575 4.0900
0.9120 -5.4518 0.3122
3.1844 -2.0471 4.0382
ATOMIC_POSITIONS crystal
Te 0.0000 0.0000 0.0000
Pm 0.7501 0.7501 0.7496
Sm 0.5000 0.5000 0.5000
Pm 0.2499 0.2499 0.2504

---

Q: What are the energies relative to the best structure? A: a 0.0; b 30.3, in kJ/mol of atoms.

---

a | ! Pm2Sm2Te3 | the Alexandria database | PBE-GGA | optimized geometry; values from VASP
! - Volume: 29.13 Å³/atom
! - SG: I2_13, No. 199
&SYSTEM
  ibrav = 0, nat = 14, ntyp = 3
/
ATOMIC_SPECIES
Te 127.60 Te.upf
Sm 150.36 Sm.upf
Pm 145.00 Pm.upf
CELL_PARAMETERS angstrom
-6.1074 0.6299 5.2701
5.2628 -5.5586 2.6223
3.7345 7.1470 -0.6674
ATOMIC_POSITIONS crystal
Te 0.7500 0.6261 0.3761
Sm 0.5000 0.8571 0.5000
Te 0.2500 0.8739 0.1239
Te 0.3739 0.1239 0.7500
Pm 0.6445 0.1445 0.1445
Sm 0.1429 0.6429 0.6429
Pm 0.8555 0.5000 0.0000
Sm 0.3571 0.5000 0.0000
Te 0.6239 0.7500 0.8739
Te 0.1261 0.3761 0.2500
Pm 0.5000 0.3555 0.5000
Pm 0.0000 0.0000 0.3555
Sm 0.0000 0.0000 0.8571
Te 0.8761 0.2500 0.6261

---

b | ! Pm2Sm2Te3 | the Alexandria database | PBE-GGA | optimized geometry; values from VASP
! - Volume: 33.28 Å³/atom
! - SG: C2/m, No. 12
&SYSTEM
  ibrav = 0, nat = 7, ntyp = 3
/
ATOMIC_SPECIES
Pm 145.00 Pm.upf
Sm 150.36 Sm.upf
Te 127.60 Te.upf
CELL_PARAMETERS angstrom
4.2504 0.0000 0.0000
0.0000 7.3445 -0.7673
-2.1252 -3.0528 7.7821
ATOMIC_POSITIONS crystal
Pm 0.1101 0.2614 0.2201
Sm 0.3730 0.2019 0.7461
Pm 0.8899 0.7386 0.7799
Te 0.0000 0.5000 0.0000
Te 0.7473 0.2629 0.4946
Te 0.2527 0.7371 0.5054
Sm 0.6270 0.7981 0.2539

---

Q: What are the energies relative to the best structure? A: a 0.0; b 11.4, in kJ/mol of atoms.

---

a | ! Pm6SmTh | the Alexandria database | PBE-GGA | optimized geometry; values from VASP
! - Volume: 33.91 Å³/atom
! - SG: P-1, No. 2
&SYSTEM
  ibrav = 0, nat = 8, ntyp = 3
/
ATOMIC_SPECIES
Pm 145.00 Pm.upf
Th 232.04 Th.upf
Sm 150.36 Sm.upf
CELL_PARAMETERS angstrom
-5.5614 -3.6770 1.1315
-0.5877 -1.4328 -6.4771
0.6379 -6.7584 1.2224
ATOMIC_POSITIONS crystal
Pm 0.5335 0.7564 0.0019
Pm 0.4229 0.2507 0.4951
Pm 0.9201 0.2467 0.5031
Th 0.0000 0.0000 0.0000
Pm 0.4665 0.2436 0.9981
Sm 0.0000 0.5000 0.0000
Pm 0.0799 0.7533 0.4969
Pm 0.5771 0.7493 0.5049

---

b | ! Pm6SmTh | the Alexandria database | PBE-GGA | optimized geometry; values from VASP
! - Volume: 33.97 Å³/atom
! - SG: P4/mmm, No. 123
&SYSTEM
  ibrav = 0, nat = 8, ntyp = 3
/
ATOMIC_SPECIES
Pm 145.00 Pm.upf
Sm 150.36 Sm.upf
Th 232.04 Th.upf
CELL_PARAMETERS angstrom
-3.5485 -2.8489 -2.3913
2.9727 -4.1586 0.5431
-4.4717 -2.0163 9.0379
ATOMIC_POSITIONS crystal
Pm 0.5000 0.5000 0.5000
Sm 0.0000 0.0000 0.0000
Pm 0.0000 0.5000 0.7462
Pm 0.5000 0.0000 0.7462
Pm 0.5000 0.5000 0.0000
Pm 0.5000 0.0000 0.2538
Pm 0.0000 0.5000 0.2538
Th 0.0000 0.0000 0.5000

---

Q: What are the energies relative to the best structure? A: a 15.7; b 0.0, in kJ/mol of atoms.

---

a | ! Pm4Sm3Th | the Alexandria database | PBE-GGA | optimized geometry; values from VASP
! - Volume: 34.63 Å³/atom
! - SG: Cmmm, No. 65
&SYSTEM
  ibrav = 0, nat = 8, ntyp = 3
/
ATOMIC_SPECIES
Sm 150.36 Sm.upf
Pm 145.00 Pm.upf
Th 232.04 Th.upf
CELL_PARAMETERS angstrom
-0.3672 -1.0982 3.2386
-7.5998 -4.2541 -2.3042
5.6337 -6.8275 -1.6765
ATOMIC_POSITIONS crystal
Sm 0.5000 0.5000 0.5000
Pm 0.0000 0.7591 0.7591
Pm 0.5000 0.7506 0.2494
Sm 0.0000 0.0000 0.5000
Pm 0.0000 0.2409 0.2409
Pm 0.5000 0.2494 0.7506
Sm 0.0000 0.5000 0.0000
Th 0.5000 0.0000 0.0000

---

b | ! Pm4Sm3Th | the Alexandria database | PBE-GGA | optimized geometry; values from VASP
! - Volume: 34.29 Å³/atom
! - SG: C2/m, No. 12
&SYSTEM
  ibrav = 0, nat = 8, ntyp = 3
/
ATOMIC_SPECIES
Pm 145.00 Pm.upf
Sm 150.36 Sm.upf
Th 232.04 Th.upf
CELL_PARAMETERS angstrom
-0.4522 1.0344 -3.3092
6.7655 -0.8953 -1.2044
-5.1115 -10.7859 -0.8258
ATOMIC_POSITIONS crystal
Pm 0.7423 0.2410 0.4846
Sm 0.8774 0.1150 0.7548
Th 0.5000 0.0000 0.0000
Pm 0.8776 0.6398 0.7553
Pm 0.2577 0.7590 0.5154
Sm 0.0000 0.5000 0.0000
Sm 0.1226 0.8850 0.2452
Pm 0.1224 0.3602 0.2447

---

Q: What are the energies relative to the best structure? A: a 22.0; b 0.0, in kJ/mol of atoms.

---

a | ! PmSm4Th2 | the Alexandria database | PBE-GGA | optimized geometry; values from VASP
! - Volume: 38.69 Å³/atom
! - SG: I4/mmm, No. 139
&SYSTEM
  ibrav = 0, nat = 7, ntyp = 3
/
ATOMIC_SPECIES
Th 232.04 Th.upf
Sm 150.36 Sm.upf
Pm 145.00 Pm.upf
CELL_PARAMETERS angstrom
-1.5462 5.2900 -1.5073
-5.3557 -1.8049 -0.8405
1.6298 -0.0214 9.0825
ATOMIC_POSITIONS crystal
Th 0.3902 0.3902 0.7805
Sm 0.0000 0.5000 0.0000
Sm 0.8151 0.8151 0.6303
Sm 0.1849 0.1849 0.3697
Pm 0.0000 0.0000 0.0000
Th 0.6098 0.6098 0.2195
Sm 0.5000 0.0000 0.0000

---

b | ! PmSm4Th2 | the Alexandria database | PBE-GGA | optimized geometry; values from VASP
! - Volume: 35.55 Å³/atom
! - SG: P2/m, No. 10
&SYSTEM
  ibrav = 0, nat = 7, ntyp = 3
/
ATOMIC_SPECIES
Sm 150.36 Sm.upf
Pm 145.00 Pm.upf
Th 232.04 Th.upf
CELL_PARAMETERS angstrom
-4.5158 -2.2159 2.5231
6.0334 -4.2856 7.0352
-2.5280 5.0811 -0.0605
ATOMIC_POSITIONS crystal
Sm 0.5001 0.7092 0.6183
Pm 0.0001 0.0000 0.0000
Th 0.0001 0.5000 0.5000
Sm 0.5000 0.2908 0.3817
Th 0.4999 0.0000 0.5000
Sm 0.0000 0.7220 0.2177
Sm 0.9998 0.2780 0.7823

---

Q: What are the energies relative to the best structure? A: a 39.7; b 0.0, in kJ/mol of atoms.

---

a | ! PmSm7Th3 | the Alexandria database | PBE-GGA | optimized geometry; values from VASP
! - Volume: 35.10 Å³/atom
! - SG: P3m1, No. 156
&SYSTEM
  ibrav = 0, nat = 11, ntyp = 3
/
ATOMIC_SPECIES
Th 232.04 Th.upf
Sm 150.36 Sm.upf
Pm 145.00 Pm.upf
CELL_PARAMETERS angstrom
-2.8051 -3.9470 -7.2076
1.0101 -6.3804 3.1008
-6.3123 3.3315 0.6323
ATOMIC_POSITIONS crystal
Th 0.7833 0.5002 0.4998
Th 0.7833 0.5002 0.0004
Th 0.7833 0.9996 0.4998
Sm 0.1105 0.1681 0.3361
Sm 0.4557 0.8318 0.6637
Sm 0.1105 0.6639 0.8319
Sm 0.4557 0.8318 0.1682
Sm 0.1105 0.1681 0.8319
Pm 0.4596 0.3333 0.6667
Sm 0.1070 0.6667 0.3333
Sm 0.4557 0.3363 0.1682

---

b | ! PmSm7Th3 | the Alexandria database | PBE-GGA | optimized geometry; values from VASP
! - Volume: 34.51 Å³/atom
! - SG: C2/m, No. 12
&SYSTEM
  ibrav = 0, nat = 11, ntyp = 3
/
ATOMIC_SPECIES
Sm 150.36 Sm.upf
Th 232.04 Th.upf
Pm 145.00 Pm.upf
CELL_PARAMETERS angstrom
-6.2456 -1.2274 -0.0946
1.3194 -3.6682 6.7422
-0.5809 6.1589 4.7317
ATOMIC_POSITIONS crystal
Sm 0.2617 0.5772 0.9288
Sm 0.7383 0.0712 0.4228
Th 0.0000 0.8274 0.1726
Pm 0.5000 0.5000 0.5000
Sm 0.7383 0.4228 0.0712
Th 0.0000 0.1726 0.8274
Sm 0.7898 0.7695 0.7695
Th 0.5000 0.0000 0.0000
Sm 0.2102 0.2305 0.2305
Sm 0.2617 0.9288 0.5772
Sm 0.0000 0.5000 0.5000

---

Q: What are the energies relative to the best structure? A: a 0.0; b 3.8, in kJ/mol of atoms.

---

a | ! PmSm2Th | the Alexandria database | PBE-GGA | optimized geometry; values from VASP
! - Volume: 34.20 Å³/atom
! - SG: R-3m, No. 166
&SYSTEM
  ibrav = 0, nat = 4, ntyp = 3
/
ATOMIC_SPECIES
Th 232.04 Th.upf
Pm 145.00 Pm.upf
Sm 150.36 Sm.upf
CELL_PARAMETERS angstrom
-2.2699 -0.6925 2.6454
0.8770 -2.3396 2.5273
4.6118 8.2029 8.4918
ATOMIC_POSITIONS crystal
Th 0.5000 0.5000 0.5000
Pm 0.0000 0.0000 0.0000
Sm 0.0914 0.0914 0.7259
Sm 0.9086 0.9086 0.2741

---

b | ! PmSm2Th | the Alexandria database | PBE-GGA | optimized geometry; values from VASP
! - Volume: 33.63 Å³/atom
! - SG: P4/mmm, No. 123
&SYSTEM
  ibrav = 0, nat = 4, ntyp = 3
/
ATOMIC_SPECIES
Pm 145.00 Pm.upf
Sm 150.36 Sm.upf
Th 232.04 Th.upf
CELL_PARAMETERS angstrom
-2.0705 -1.8161 -2.3393
-0.7856 -2.4153 2.5704
-8.1417 5.6496 2.8203
ATOMIC_POSITIONS crystal
Pm 0.5000 0.5000 0.5000
Sm 0.0000 0.0000 0.2397
Th 0.5000 0.5000 0.0000
Sm 0.0000 0.0000 0.7603

---

Q: What are the energies relative to the best structure? A: a 10.9; b 0.0, in kJ/mol of atoms.

---

a | ! PmSm2Th | the Alexandria database | PBE-GGA | optimized geometry; values from VASP
! - Volume: 33.46 Å³/atom
! - SG: P6_3/mmc, No. 194
&SYSTEM
  ibrav = 0, nat = 8, ntyp = 3
/
ATOMIC_SPECIES
Pm 145.00 Pm.upf
Sm 150.36 Sm.upf
Th 232.04 Th.upf
CELL_PARAMETERS angstrom
3.6249 0.0000 0.0000
-1.8125 3.1393 0.0000
0.0000 0.0000 23.5233
ATOMIC_POSITIONS crystal
Pm 0.6667 0.3333 0.2500
Sm 0.3333 0.6667 0.1220
Sm 0.6667 0.3333 0.8780
Sm 0.3333 0.6667 0.3780
Th 0.0000 0.0000 0.5000
Pm 0.3333 0.6667 0.7500
Sm 0.6667 0.3333 0.6220
Th 0.0000 0.0000 0.0000

---

b | ! PmSm2Th | the Alexandria database | PBE-GGA | optimized geometry; values from VASP
! - Volume: 33.41 Å³/atom
! - SG: P4/mmm, No. 123
&SYSTEM
  ibrav = 0, nat = 4, ntyp = 3
/
ATOMIC_SPECIES
Pm 145.00 Pm.upf
Th 232.04 Th.upf
Sm 150.36 Sm.upf
CELL_PARAMETERS angstrom
5.1117 0.0000 0.0000
0.0000 5.1132 0.0000
0.0000 0.0000 5.1132
ATOMIC_POSITIONS crystal
Pm 0.5000 0.0000 0.0000
Th 0.5000 0.5000 0.5000
Sm 0.0000 0.0000 0.5000
Sm 0.0000 0.5000 0.0000

---

c | ! PmSm2Th | the Alexandria database | PBE-GGA | optimized geometry; values from VASP
! - Volume: 33.60 Å³/atom
! - SG: Fm-3m, No. 225
&SYSTEM
  ibrav = 0, nat = 4, ntyp = 3
/
ATOMIC_SPECIES
Sm 150.36 Sm.upf
Pm 145.00 Pm.upf
Th 232.04 Th.upf
CELL_PARAMETERS angstrom
-5.4588 1.5282 0.9612
-3.7560 0.1363 -4.3511
-4.1834 -3.9319 -0.3107
ATOMIC_POSITIONS crystal
Sm 0.2500 0.2500 0.2500
Sm 0.7500 0.7500 0.7500
Pm 0.5000 0.5000 0.5000
Th 0.0000 0.0000 0.0000

---

Q: What are the energies relative to the best structure? A: a 0.0; b 3.4; c 15.7, in kJ/mol of atoms.